Here is a relaxed Tl2TeCl crystal from Alexandria. Energies are from PBEsol.

Output
electronic total energy: -12.5 eV per cell
distance to the lowest polymorph of the same formula: 62 meV/atom
formation energy from raw total energies: -0.423 eV/atom
ρ: 7.6 g cm⁻³

Cell lengths 4.498, 4.498, 7.549 Å; angles 72.67, 72.67, 60.00 degrees
Element x y z (fractional)
Tl1 0.250 0.250 0.251
Tl2 0.750 0.750 0.749
Te1 0.000 0.000 0.000
Cl1 0.500 0.500 0.500

---

Here is a relaxed Tl2TeCl6 crystal from Alexandria. Energies are from PBEsol.

Output
electronic total energy: -27.8 eV per cell
formation energy from raw total energies: -0.777 eV/atom
ρ: 5.0 g cm⁻³

Cell lengths 7.040, 7.040, 7.040 Å; angles 60.00, 60.00, 60.00 degrees
Element x y z (fractional)
Cl1 0.746 0.746 0.254
Cl2 0.254 0.254 0.746
Cl3 0.254 0.746 0.254
Cl4 0.746 0.254 0.746
Cl5 0.746 0.254 0.254
Cl6 0.254 0.746 0.746
Te1 0.000 0.000 0.000
Tl1 0.750 0.750 0.750
Tl2 0.250 0.250 0.250

---

Here is a relaxed Tl2TeCl crystal from Alexandria. Energies are from PBEsol.

Output
electronic total energy: -11.9 eV per cell
distance to the lowest polymorph of the same formula: 215 meV/atom
formation energy from raw total energies: -0.269 eV/atom
ρ: 8.8 g cm⁻³

Cell lengths 5.354, 5.354, 5.354 Å; angles 60.00, 60.00, 60.00 degrees
Element x y z (fractional)
Tl1 0.000 0.000 0.000
Tl2 0.750 0.750 0.750
Te1 0.250 0.250 0.250
Cl1 0.500 0.500 0.500

---

Here is a relaxed Tl2TeCl crystal from Alexandria. Energies are from PBEsol.

Output
electronic total energy: -12.6 eV per cell
distance to the lowest polymorph of the same formula: 30 meV/atom
formation energy from raw total energies: -0.455 eV/atom
ρ: 8.7 g cm⁻³

Cell lengths 5.369, 5.369, 5.369 Å; angles 60.00, 60.00, 60.00 degrees
Element x y z (fractional)
Tl1 0.250 0.250 0.250
Tl2 0.750 0.750 0.750
Te1 0.500 0.500 0.500
Cl1 0.000 0.000 0.000

---

Here is a relaxed Tl2TeCl crystal from Alexandria. Energies are from PBEsol.

Output
electronic total energy: -12.4 eV per cell
distance to the lowest polymorph of the same formula: 85 meV/atom
formation energy from raw total energies: -0.400 eV/atom
ρ: 8.1 g cm⁻³

Cell lengths 4.328, 4.328, 6.992 Å; angles 108.03, 108.03, 90.00 degrees
Element x y z (fractional)
Tl1 0.000 0.000 0.000
Tl2 0.750 0.250 0.500
Te1 0.250 0.750 0.500
Cl1 0.500 0.500 0.000

---

Here is a relaxed Tl2TeCl crystal from Alexandria. Energies are from PBEsol.

Output
electronic total energy: -12.7 eV per cell
distance to the lowest polymorph of the same formula: 0 meV/atom
formation energy from raw total energies: -0.485 eV/atom
ρ: 7.6 g cm⁻³

Cell lengths 4.401, 4.402, 6.455 Å; angles 90.00, 90.00, 90.00 degrees
Element x y z (fractional)
Tl1 0.875 0.500 0.000
Tl2 0.375 0.000 0.500
Te1 0.875 0.500 0.500
Cl1 0.375 0.000 0.000

---

Here is a relaxed TlTe4Cl crystal from Alexandria. Energies are from PBEsol.

Output
electronic total energy: -19.0 eV per cell
formation energy from raw total energies: -0.042 eV/atom
ρ: 7.1 g cm⁻³

Cell lengths 6.270, 6.270, 6.270 Å; angles 60.00, 60.00, 60.00 degrees
Element x y z (fractional)
Tl1 0.750 0.750 0.750
Te1 0.375 0.375 0.375
Te2 0.375 0.375 0.876
Te3 0.876 0.375 0.375
Te4 0.375 0.876 0.375
Cl1 0.000 0.000 0.000

---

Here is a relaxed Tl2Te2Cl crystal from Alexandria. Energies are from PBEsol.

Output
electronic total energy: -16.4 eV per cell
formation energy from raw total energies: -0.410 eV/atom
ρ: 7.3 g cm⁻³

Cell lengths 4.302, 4.302, 9.152 Å; angles 103.59, 103.59, 90.00 degrees
Element x y z (fractional)
Tl1 0.407 0.407 0.815
Tl2 0.593 0.593 0.185
Te1 0.250 0.750 0.500
Te2 0.750 0.250 0.500
Cl1 0.000 0.000 0.000